This record from the Alexandria database describes LiTm2Mg4 after structural relaxation. The functional is PBE.

- formation energy (meV per atom) = 187.8
- crystal system = orthorhombic
- E above lowest polymorph (meV/atom) = 149
- DOS(E_F) (states/eV per atom) = 0.77

Cell: 11.2383 11.2383 3.0839 Å, 90.00 90.00 152.37°
With the nearest neighbours (Å) after each atom.
Sites, in units of the cell vectors:
Li  0.0000  0.0000  0.0000  2 Li 3.08, 8 Mg 3.11-3.22
Tm  0.2912  0.7088  0.5000  4 Tm 3.08-3.23, 4 Mg 3.19-3.35
Tm  0.7088  0.2912  0.5000  4 Tm 3.08-3.23, 4 Mg 3.19-3.35
Mg  0.1294  0.8706  0.5000  6 Mg 3.08-3.34, 2 Tm 3.19, 2 Li 3.22
Mg  0.4276  0.5724  0.0000  7 Mg 3.08-3.34, 2 Li 3.11, 2 Tm 3.35
Mg  0.5724  0.4276  0.0000  7 Mg 3.08-3.34, 2 Li 3.11, 2 Tm 3.35
Mg  0.8706  0.1294  0.5000  6 Mg 3.08-3.34, 2 Tm 3.19, 2 Li 3.22